No. 1
An optimized crystal structure of KBrN2F. Source: the Alexandria database, functional GGA-PBE.

The value obtained for the uncorrected formation energy is 0.829 eV/atom. As for the theoretical density: 3.2 Mg/m³.

The structure belongs to space group P4/mmm (No. 123); the cell edges are 3.8978, 3.8978 and 5.6225 Å and the angles 90.00°, 90.00° and 90.00°. The distinct sites, in fractional coordinates, are K at (0.0000, 0.0000, 0.0000), Br at (0.5000, 0.5000, 0.5000), N at (0.0000, 0.5000, 0.5000) and F at (0.5000, 0.5000, 0.0000).

---

No. 2
An optimized crystal structure of KBrN2F. Source: the Alexandria database, functional GGA-PBE.

The value obtained for the uncorrected formation energy is 1.385 eV/atom. As for the theoretical density: 1.7 Mg/m³.

The structure belongs to space group P4/mmm (No. 123); the cell edges are 5.8250, 5.8250 and 4.7782 Å and the angles 90.00°, 90.00° and 90.00°. The distinct sites, in fractional coordinates, are K at (0.0000, 0.0000, 0.0000), Br at (0.5000, 0.5000, 0.5000), N at (0.0000, 0.5000, 0.0000) and F at (0.0000, 0.0000, 0.5000).

---

No. 3
An optimized crystal structure of K2NaBrF2. Source: the Alexandria database, functional GGA-PBE.

The value obtained for the uncorrected formation energy is -2.356 eV/atom. As for the theoretical density: 2.7 Mg/m³.

The structure belongs to space group P4/mmm (No. 123); the cell edges are 4.4089, 4.4089 and 6.9871 Å and the angles 90.00°, 90.00° and 90.00°. The distinct sites, in fractional coordinates, are K at (0.0000, 0.0000, 0.2373), Na at (0.5000, 0.5000, 0.0000), Br at (0.5000, 0.5000, 0.5000) and F at (0.0000, 0.5000, 0.0000).

---

No. 4
An optimized crystal structure of KNa2BrF. Source: the Alexandria database, functional GGA-PBE.

The value obtained for the uncorrected formation energy is -1.556 eV/atom. As for the theoretical density: 2.1 Mg/m³.

The structure belongs to space group P4/mmm (No. 123); the cell edges are 4.6675, 4.6675 and 6.5808 Å and the angles 90.00°, 90.00° and 90.00°. The distinct sites, in fractional coordinates, are K at (0.0000, 0.0000, 0.0000), Na at (0.0000, 0.5000, 0.5000), Br at (0.5000, 0.5000, 0.0000) and F at (0.0000, 0.0000, 0.5000).

---

No. 5
An optimized crystal structure of KNaBrF6. Source: the Alexandria database, functional GGA-PBE.

The value obtained for the uncorrected formation energy is -1.691 eV/atom. As for the theoretical density: 2.7 Mg/m³.

The structure belongs to space group P312 (No. 149); the cell edges are 6.1563, 6.1563 and 4.8236 Å and the angles 90.00°, 90.00° and 120.00°. The distinct sites, in fractional coordinates, are K at (0.0000, 0.0000, 0.0000), Na at (0.3333, 0.6667, 0.5000), Br at (0.6667, 0.3333, 0.5000) and F at (0.3757, 0.0355, 0.6916).

---

No. 6
An optimized crystal structure of K2NbBr4F2. Source: the Alexandria database, functional GGA-PBE.

The value obtained for the uncorrected formation energy is -1.842 eV/atom. As for the theoretical density: 3.4 Mg/m³.

The structure belongs to space group C2/m (No. 12); the cell edges are 11.6168, 7.7082 and 5.8562 Å and the angles 90.00°, 101.63° and 90.00°. The distinct sites, in fractional coordinates, are K at (0.1726, 0.0000, 0.3164), Nb at (0.0000, 0.5000, 0.0000), Br at (0.1001, 0.2528, 0.7986) and F at (0.1343, 0.5000, 0.2602).

---

No. 7
An optimized crystal structure of K2NbBr2F4. Source: the Alexandria database, functional GGA-PBE.

The value obtained for the uncorrected formation energy is -2.398 eV/atom. As for the theoretical density: 3.2 Mg/m³.

The structure belongs to space group C2/m (No. 12); the cell edges are 13.1314, 6.1858 and 5.2293 Å and the angles 90.00°, 92.84° and 90.00°. The distinct sites, in fractional coordinates, are K at (0.1284, 0.0000, 0.1230), Nb at (0.0000, 0.5000, 0.5000), Br at (0.1878, 0.5000, 0.3365) and F at (0.0382, 0.2594, 0.7402).